(1)
# MgAgOs2 | Alexandria via LeMat-Bulk | GGA-PBEsol | optimized geometry
data_MgAgOs2
_cell_length_a 5.359
_cell_length_b 5.359
_cell_length_c 5.359
_cell_angle_alpha 149.03
_cell_angle_beta 128.47
_cell_angle_gamma 61.35
_space_group_name_H-M_alt 'P 1'
_space_group_IT_number 1
loop_
_space_group_symop_operation_xyz
'x,y,z'
loop_
_atom_site_label
_atom_site_fract_x
_atom_site_fract_y
_atom_site_fract_z
Mg1 0.000 0.000 0.000
Ag1 0.742 0.242 0.500
Os1 0.258 0.758 0.500
Os2 0.483 0.483 0.000
# ΔH_f (0 K): 51.2 kJ/mol of atoms
# SG: Imm2 (44)

---

(2)
# MgAgOs2 | Alexandria via LeMat-Bulk | GGA-PBEsol | optimized geometry
data_MgAgOs2
_cell_length_a 2.802
_cell_length_b 3.798
_cell_length_c 5.775
_cell_angle_alpha 90.00
_cell_angle_beta 90.00
_cell_angle_gamma 90.00
_space_group_name_H-M_alt 'P 1'
_space_group_IT_number 1
loop_
_space_group_symop_operation_xyz
'x,y,z'
loop_
_atom_site_label
_atom_site_fract_x
_atom_site_fract_y
_atom_site_fract_z
Mg1 0.000 0.000 0.000
Ag1 0.500 0.500 0.769
Os1 0.000 0.000 0.472
Os2 0.500 0.500 0.290
# ΔH_f (0 K): 22.1 kJ/mol of atoms
# SG: Pmm2 (25)